Compound: ZnCoRh2C
Source: the Alexandria database
Functional: GGA-PBE
Structure: relaxed

Computed properties:
Its density of states at the Fermi level is 4.2 states/eV/cell. The energy of formation from the pure elements is -0.051 eV per atom. As for the space group: P4/mmm (123).

Cell lengths 4.0539, 4.0539, 3.7534 Å; angles 90.00, 90.00, 90.00 degrees
Positions (direct):
C1 0.0000 0.0000 0.0000
Rh1 0.5000 0.0000 0.0000
Rh2 0.0000 0.5000 0.0000
Co1 0.0000 0.0000 0.5000
Zn1 0.5000 0.5000 0.5000

Compound: Ti4V3Mo4
Source: the Alexandria database
Functional: GGA-PBE
Structure: relaxed

Computed properties:
Its density of states at the Fermi level is 14.5 states/eV/cell. The energy of formation from the pure elements is -0.073 eV per atom. As for the space group: C2/m (12).

Cell lengths 2.7914, 4.3261, 14.2401 Å; angles 98.73, 94.03, 90.03 degrees
Positions (direct):
Ti1 0.3070 0.9102 0.8200
Ti2 0.2265 0.2746 0.5492
Ti3 0.7735 0.7254 0.4508
Ti4 0.6930 0.0899 0.1800
V1 0.8754 0.3642 0.7281
V2 0.1246 0.6358 0.2719
V3 0.0000 0.0000 0.0000
Mo1 0.4314 0.1794 0.3591
Mo2 0.6471 0.4547 0.9097
Mo3 0.5686 0.8206 0.6409
Mo4 0.3529 0.5453 0.0903

Compound: Cs2CuReI6
Source: the Alexandria database
Functional: GGA-PBE
Structure: relaxed

Computed properties:
Its uncorrected formation energy is -449.6 meV per atom. Its density of states at the Fermi level is 7.9 states/eV/cell. As for the space group: I4/mmm (139).

Cell lengths 8.1255, 8.1255, 8.1339 Å; angles 60.03, 60.03, 90.00 degrees
Positions (direct):
I1 0.2437 0.2437 0.5127
I2 0.2445 0.2445 0.0000
I3 0.2445 0.7555 0.0000
I4 0.7555 0.2445 0.0000
I5 0.7555 0.7555 0.0000
I6 0.7563 0.7563 0.4873
Re1 0.0000 0.0000 0.0000
Cs1 0.7500 0.2500 0.5000
Cs2 0.2500 0.7500 0.5000
Cu1 0.5000 0.5000 0.0000

Compound: CsSrZnF6
Source: the Alexandria database
Functional: GGA-PBE
Structure: relaxed

Computed properties:
Its uncorrected formation energy is -2732.3 meV per atom. Its density of states at the Fermi level is 11.1 states/eV/cell. As for the space group: Imma (74).

Cell lengths 8.0728, 7.8666, 7.6298 Å; angles 121.03, 121.94, 90.00 degrees
Positions (direct):
F1 0.1299 0.8799 0.2598
F2 0.4606 0.6030 0.2625
F3 0.5394 0.3970 0.7375
F4 0.1981 0.3970 0.7375
F5 0.8701 0.1201 0.7402
F6 0.5661 0.8161 0.1322
F7 0.4606 0.1595 0.2625
F8 0.4339 0.1839 0.8678
F9 0.5394 0.8405 0.7375
F10 0.8019 0.6030 0.2625
F11 0.1981 0.8405 0.7375
F12 0.8019 0.1595 0.2625
Sr1 0.5000 0.0000 0.5000
Sr2 0.0000 0.0000 0.5000
Zn1 0.5000 0.5000 0.0000
Zn2 0.5000 0.0000 0.0000
Cs1 0.1505 0.4005 0.3010
Cs2 0.8495 0.5995 0.6990

Compound: FeIrSe
Source: the Alexandria database
Functional: GGA-PBE
Structure: relaxed

Computed properties:
Its uncorrected formation energy is 256.3 meV per atom. Its density of states at the Fermi level is 3.9 states/eV/cell. As for the space group: F-43m (216).

Cell lengths 4.2043, 4.2043, 4.2043 Å; angles 60.00, 60.00, 60.00 degrees
Positions (direct):
Fe1 0.5000 0.5000 0.5000
Se1 0.0000 0.0000 0.0000
Ir1 0.7500 0.7500 0.7500

Compound: SrCdPd
Source: the Alexandria database
Functional: GGA-PBE
Structure: relaxed

Computed properties:
Its density of states at the Fermi level is 1.2 states/eV/cell. The energy of formation from the pure elements is -0.408 eV per atom. As for the space group: I4mm (107).

Cell lengths 3.7180, 3.7180, 6.0458 Å; angles 107.91, 107.91, 90.00 degrees
Positions (direct):
Cd1 0.5833 0.5833 0.1666
Sr1 0.2906 0.2906 0.5812
Pd1 0.9761 0.9761 0.9522

no.,raw total energy (eV per atom)
1,-6.5123
2,-9.3689
3,-3.2048
4,-4.4031
5,-6.6798
6,-3.0045